[1]
La2PCl: PBEsol geometry, meta-GGA SCAN.

The calculation puts the density of states at the Fermi level at 1.97 states/eV/f.u. Its total moment is 0.0 μB per formula unit. As for the space group: No. 123. The formation energy from raw total energies is -179.4 kJ per mole of atoms. The value obtained for the total energy is -2.058 Ry per atom.

a b c (Å): 4.1475 4.1475 5.8409
angles (deg): 90.00 90.00 90.00
Last column: nearest neighbours and their distance in Å.
Element x y z (fractional)
La  0.0000  0.0000  0.0000  2 P 2.92, 4 Cl 2.93
La  0.5000  0.5000  0.5000  2 Cl 2.92, 4 P 2.93
P  0.0000  0.0000  0.5000  6 La 2.92-2.93
Cl  0.5000  0.5000  0.0000  6 La 2.92-2.93


[2]
LaPCl: PBEsol geometry, meta-GGA SCAN.

The calculation puts the density of states at the Fermi level at 3.21 states/eV/f.u. Its total moment is 1.0 μB per formula unit. As for the space group: No. 216. The offset from the most stable computed form is 0 meV/atom. The formation energy from raw total energies is -134.1 kJ per mole of atoms. The value obtained for the total energy is -1.608 Ry per atom.

a b c (Å): 6.8363 6.8363 6.8363
angles (deg): 90.00 90.00 90.00
Last column: nearest neighbours and their distance in Å.
Element x y z (fractional)
La  0.0000  0.0000  0.0000  4 P 2.96, 4 Cl 2.96
La  0.0000  0.5000  0.5000  4 P 2.96, 4 Cl 2.96
La  0.5000  0.0000  0.5000  4 P 2.96, 4 Cl 2.96
La  0.5000  0.5000  0.0000  4 P 2.96, 4 Cl 2.96
P  0.2500  0.2500  0.2500  4 La 2.96
P  0.2500  0.7500  0.7500  4 La 2.96
P  0.7500  0.2500  0.7500  4 La 2.96
P  0.7500  0.7500  0.2500  4 La 2.96
Cl  0.2500  0.2500  0.7500  4 La 2.96
Cl  0.2500  0.7500  0.2500  4 La 2.96
Cl  0.7500  0.2500  0.2500  4 La 2.96
Cl  0.7500  0.7500  0.7500  4 La 2.96


[3]
LaP2Cl: PBEsol geometry, meta-GGA SCAN.

The calculation puts the density of states at the Fermi level at 1.11 states/eV/f.u. Its total moment is 0.0 μB per formula unit. As for the space group: No. 160. The offset from the most stable computed form is 0 meV/atom. The formation energy from raw total energies is -106.2 kJ per mole of atoms. The value obtained for the total energy is -1.402 Ry per atom.

a b c (Å): 4.0910 4.0910 20.1456
angles (deg): 90.00 90.00 120.00
Last column: nearest neighbours and their distance in Å.
Element x y z (fractional)
La  0.0000  0.0000  0.0000  3 Cl 2.89, 6 P 2.98-3.21
La  0.3333  0.6667  0.6667  3 Cl 2.89, 6 P 2.98-3.21
La  0.6667  0.3333  0.3333  3 Cl 2.89, 6 P 2.98-3.21
P  0.0000  0.0000  0.2429  3 P 2.39
P  0.0000  0.0000  0.5590  3 P 2.39
P  0.3333  0.6667  0.2257  3 P 2.39
P  0.3333  0.6667  0.9096  3 P 2.39
P  0.6667  0.3333  0.5762  3 P 2.39
P  0.6667  0.3333  0.8923  3 P 2.39
Cl  0.0000  0.0000  0.7493  3 La 2.89
Cl  0.3333  0.6667  0.4160  3 La 2.89
Cl  0.6667  0.3333  0.0826  3 La 2.89